First-principles (PBE) data for crystalline TlRhW at its relaxed geometry, as listed in Alexandria via LeMat-Bulk.

**SG**: P3m1
**Mass density**: 15.13 g cm⁻³
**Total DFT energy (no corrections)**: -21.325 eV per cell

Structure (POSCAR):
```
TlRhW
1.0
2.9756 0.0000 0.0000
-1.4878 2.5769 0.0000
0.0000 0.0000 7.0279
Tl Rh W
1 1 1
Direct
0.0000 0.0000 0.0000
0.6667 0.3333 0.6520
0.3333 0.6667 0.3698
```